The following is a PBE calculation of an optimized crystal structure of H2PbW, from Alexandria.

Structure (POSCAR):
```
H2PbW
1.0
-2.9229 -3.3983 -3.8650
1.9194 -4.8439 2.8075
-2.7864 -4.0574 1.1430
H Pb W
4 2 2
direct
0.2301 0.6250 0.2500
0.8750 0.7699 0.7500
0.5199 0.1250 0.2500
0.3750 0.4801 0.7500
0.7500 0.2500 0.5000
0.0000 0.0000 0.0000
0.5000 0.5000 0.0000
0.2500 0.7500 0.5000
```

Output
total magnetization: 0.0 Bohr magnetons per cell
energy: -42.3 eV for the cell shown

---

The following is a PBE calculation of an optimized crystal structure of ZnH2PbW, from Alexandria.

Structure (POSCAR):
```
ZnH2PbW
1.0
-1.3092 -2.8887 2.1651
4.4205 -2.5456 -0.7235
1.4754 1.6738 3.1254
H Zn W Pb
2 1 1 1
direct
0.5000 0.0000 0.0000
0.0000 0.0000 0.5000
0.0000 0.5000 0.0000
0.0000 0.0000 0.0000
0.5000 0.5000 0.5000
```

Output
total magnetization: 1.7 Bohr magnetons per cell
energy: -20.9 eV for the cell shown